Below is a geometry-optimized ScSe2Cl structure, with properties calculated at the PBE level.

Properties
The formation energy without anion corrections comes out at -1.84 eV per formula unit. For the total energy, the calculation gives -0.15610 hartree per atom. The volume comes out at 20.6 A^3/atom. Its symmetry is Fm-3m. The energy above the lowest structure with this stoichiometry is 832 meV per atom.

Cell: 4.8867 4.8867 4.8867 Å, 60.00 60.00 60.00°
Fractional positions:
Sc 0.5000 0.5000 0.5000
Se 0.2500 0.2500 0.2500
Se 0.7500 0.7500 0.7500
Cl 0.0000 0.0000 0.0000



Below is a geometry-optimized Mg2CuW structure, with properties calculated at the PBE level.

Properties
For the total energy, the calculation gives -0.17090 hartree per atom. As for the formation enthalpy at 0 K: 409 meV/atom. The volume comes out at 16.2 A^3/atom. Its symmetry is Immm. The energy above the lowest structure with this stoichiometry is 185 meV per atom.

Cell: 5.5414 5.5414 5.5414 Å, 150.83 128.21 60.55°
Fractional positions:
Cu 0.2500 0.7500 0.5000
Mg 0.0232 0.0232 0.0000
Mg 0.4768 0.4768 0.0000
W 0.7500 0.2500 0.5000



Below is a geometry-optimized PrZn2Pt10 structure, with properties calculated at the PBE level.

Properties
For the total energy, the calculation gives -0.20658 hartree per atom. As for the formation enthalpy at 0 K: -411 meV/atom. The volume comes out at 16.8 A^3/atom. Its symmetry is Fmmm.

Cell: 5.3092 6.8914 6.9943 Å, 81.59 67.69 67.34°
Fractional positions:
Pr 0.0000 0.0000 0.0000
Zn 0.0000 0.5000 0.0000
Zn 0.5000 0.5000 0.0000
Pt 0.3459 0.6461 0.6621
Pt 0.6541 0.3539 0.3379
Pt 0.9920 0.3539 0.6621
Pt 0.0080 0.6461 0.3379
Pt 0.0000 0.0000 0.5000
Pt 0.5000 0.0000 0.5000
Pt 0.2811 0.2244 0.2134
Pt 0.7189 0.7756 0.7866
Pt 0.5055 0.7756 0.2134
Pt 0.4945 0.2244 0.7866



Below is a geometry-optimized BaAs4Pd6 structure, with properties calculated at the PBE level.

Properties
For the total energy, the calculation gives -0.19058 hartree per atom. As for the formation enthalpy at 0 K: -488 meV/atom. The volume comes out at 18.2 A^3/atom. Its symmetry is P-6m2. The energy above the lowest structure with this stoichiometry is 0 meV per atom.

Cell: 4.1998 7.4114 7.4114 Å, 120.00 90.00 90.00°
Fractional positions:
Ba 0.0000 0.0000 0.0000
As 0.5000 0.8052 0.6105
As 0.5000 0.3895 0.1948
As 0.5000 0.8052 0.1948
As 0.0000 0.3333 0.6667
Pd 0.0000 0.5362 0.0723
Pd 0.5000 0.5938 0.7969
Pd 0.0000 0.5362 0.4638
Pd 0.0000 0.9277 0.4638
Pd 0.5000 0.2031 0.7969
Pd 0.5000 0.2031 0.4062



Below is a geometry-optimized AlMo3 structure, with properties calculated at the PBE level.

Properties
For the total energy, the calculation gives -0.32838 hartree per atom. As for the formation enthalpy at 0 K: 123 meV/atom. The volume comes out at 15.8 A^3/atom. Its symmetry is P4/mmm. The energy above the lowest structure with this stoichiometry is 376 meV per atom.

Cell: 2.6848 2.6848 8.7515 Å, 90.00 90.00 90.00°
Fractional positions:
Mo 0.5000 0.5000 0.7623
Mo 0.0000 0.0000 0.5000
Mo 0.5000 0.5000 0.2377
Al 0.0000 0.0000 0.0000



Below is a geometry-optimized AcGe4Pd12 structure, with properties calculated at the PBE level.

Properties
For the total energy, the calculation gives -0.19496 hartree per atom. As for the formation enthalpy at 0 K: -311 meV/atom. The volume comes out at 18.7 A^3/atom. Its symmetry is Im-3.

Cell: 7.4487 7.4487 7.4487 Å, 109.47 109.47 109.47°
Fractional positions:
Ac 0.0000 0.0000 0.0000
Ge 0.0000 0.5000 0.0000
Ge 0.5000 0.0000 0.0000
Ge 0.5000 0.5000 0.5000
Ge 0.0000 0.0000 0.5000
Pd 0.8366 0.3455 0.1822
Pd 0.3455 0.5089 0.1634
Pd 0.8178 0.1634 0.6545
Pd 0.3455 0.1822 0.8366
Pd 0.1822 0.8366 0.3455
Pd 0.6545 0.4911 0.8366
Pd 0.5089 0.1634 0.3455
Pd 0.4911 0.8366 0.6545
Pd 0.6545 0.8178 0.1634
Pd 0.8366 0.6545 0.4911
Pd 0.1634 0.3455 0.5089
Pd 0.1634 0.6545 0.8178



Below is a geometry-optimized MnReP2 structure, with properties calculated at the PBE level.

Properties
For the total energy, the calculation gives -0.30714 hartree per atom. As for the formation enthalpy at 0 K: -248 meV/atom. The volume comes out at 12.4 A^3/atom. Its symmetry is Cm. The energy above the lowest structure with this stoichiometry is 15 meV per atom.

Cell: 4.3177 4.3177 4.2868 Å, 75.37 75.37 40.21°
Last column: magnetic moment on the atom in μB.
Fractional positions:
Mn 0.2594 0.2594 0.1540  0.50
P 0.9933 0.9933 0.0609  -0.02
P 0.7528 0.7528 0.7201  -0.02
Re 0.4945 0.4945 0.5650  0.04



Below is a geometry-optimized NaPuCuO5 structure, with properties calculated at the PBE level.

Properties
The formation energy without anion corrections comes out at -13.92 eV per formula unit. For the total energy, the calculation gives -0.26853 hartree per atom. The volume comes out at 14.1 A^3/atom. Its symmetry is C2/c.

Cell: 5.7279 5.7279 7.9655 Å, 102.17 102.17 111.61°
Last column: magnetic moment on the atom in μB.
Fractional positions:
Na 0.3231 0.6769 0.2500  0.00
Na 0.6769 0.3231 0.7500  0.00
Pu 0.0000 0.0000 0.5000  1.45
Pu 0.0000 0.0000 0.0000  1.45
Cu 0.6739 0.3261 0.2500  0.14
Cu 0.3261 0.6739 0.7500  0.14
O 0.0753 0.9247 0.2500  -0.06
O 0.9247 0.0753 0.7500  -0.06
O 0.8686 0.2601 0.0923  -0.04
O 0.1314 0.7399 0.9077  -0.04
O 0.7399 0.1314 0.4077  -0.04
O 0.2601 0.8686 0.5923  -0.04
O 0.7096 0.6434 0.4171  -0.04
O 0.2904 0.3566 0.5829  -0.04
O 0.3566 0.2904 0.0829  -0.04
O 0.6434 0.7096 0.9171  -0.04



Below is a geometry-optimized Zn9CdAg2 structure, with properties calculated at the PBE level.

Properties
For the total energy, the calculation gives -0.05446 hartree per atom. As for the formation enthalpy at 0 K: 25 meV/atom. The volume comes out at 16.2 A^3/atom. Its symmetry is R-3m.

Cell: 5.0892 5.0892 9.1567 Å, 73.87 73.87 60.00°
Fractional positions:
Zn 0.6667 0.6667 0.9999
Zn 0.3333 0.3333 0.0001
Zn 0.5000 0.5000 0.5000
Zn 0.4121 0.4121 0.2583
Zn 0.9174 0.4121 0.2583
Zn 0.4121 0.9174 0.2583
Zn 0.5879 0.5879 0.7417
Zn 0.5879 0.0826 0.7417
Zn 0.0826 0.5879 0.7417
Cd 0.0000 0.0000 0.0000
Ag 0.8558 0.8558 0.4325
Ag 0.1442 0.1442 0.5675



Below is a geometry-optimized Be2IrRh structure, with properties calculated at the PBE level.

Properties
For the total energy, the calculation gives -0.21937 hartree per atom. As for the formation enthalpy at 0 K: -53 meV/atom. The volume comes out at 11.9 A^3/atom. Its symmetry is I-42d.

Cell: 5.9176 5.9176 4.9947 Å, 53.67 53.67 90.00°
Fractional positions:
Be 0.6220 0.1250 0.2500
Be 0.1280 0.6250 0.2500
Be 0.3750 0.3780 0.7500
Be 0.8750 0.8720 0.7500
Ir 0.0000 0.0000 0.0000
Ir 0.7500 0.2500 0.5000
Rh 0.5000 0.5000 0.0000
Rh 0.2500 0.7500 0.5000



Below is a geometry-optimized Ce10Te3Pb3 structure, with properties calculated at the PBE level.

Properties
The formation energy without anion corrections comes out at -10.17 eV per formula unit. For the total energy, the calculation gives -0.20686 hartree per atom. The volume comes out at 30.5 A^3/atom. Its symmetry is P-62m.

Cell: 6.3878 9.3986 9.3986 Å, 120.00 90.00 90.00°
Last column: magnetic moment on the atom in μB.
Fractional positions:
Ce 0.2420 0.6667 0.3333  0.97
Ce 0.2420 0.3333 0.6667  0.97
Ce 0.7580 0.3333 0.6667  0.97
Ce 0.7580 0.6667 0.3333  0.97
Ce 0.5000 0.0000 0.7433  0.89
Ce 0.5000 0.7433 0.0000  0.89
Ce 0.5000 0.2567 0.2567  0.89
Ce 0.0000 0.0000 0.2556  0.90
Ce 0.0000 0.2556 0.0000  0.90
Ce 0.0000 0.7444 0.7444  0.90
Te 0.0000 0.0000 0.6185  -0.03
Te 0.0000 0.6185 0.0000  -0.03
Te 0.0000 0.3815 0.3815  -0.03
Pb 0.5000 0.0000 0.3849  -0.04
Pb 0.5000 0.3849 0.0000  -0.04
Pb 0.5000 0.6151 0.6151  -0.04



Below is a geometry-optimized SrMg2Tl2Cd structure, with properties calculated at the PBE level.

Properties
For the total energy, the calculation gives -0.07137 hartree per atom. As for the formation enthalpy at 0 K: -189 meV/atom. The volume comes out at 27.6 A^3/atom. Its symmetry is P-3m1.

Cell: 4.9732 4.9732 7.7315 Å, 90.00 90.00 120.00°
Fractional positions:
Sr 0.0000 0.0000 0.0000
Mg 0.3333 0.6667 0.6477
Mg 0.6667 0.3333 0.3523
Tl 0.3333 0.6667 0.2365
Tl 0.6667 0.3333 0.7635
Cd 0.0000 0.0000 0.5000



Below is a geometry-optimized Be4TeOs structure, with properties calculated at the PBE level.

Properties
The formation energy without anion corrections comes out at 1.34 eV per formula unit. For the total energy, the calculation gives -0.17112 hartree per atom. The volume comes out at 11.5 A^3/atom. Its symmetry is F-43m.

Cell: 4.6039 4.6039 4.6039 Å, 60.00 60.00 60.00°
Fractional positions:
Be 0.8595 0.3802 0.3802
Be 0.3802 0.3802 0.3802
Be 0.3802 0.3802 0.8595
Be 0.3802 0.8595 0.3802
Te 0.0000 0.0000 0.0000
Os 0.7500 0.7500 0.7500



Below is a geometry-optimized ZrMn2Nb structure, with properties calculated at the PBE level.

Properties
For the total energy, the calculation gives -0.34244 hartree per atom. As for the formation enthalpy at 0 K: -79 meV/atom. The volume comes out at 15.4 A^3/atom. Its symmetry is P4/mmm.

Cell: 3.1241 3.1241 6.2930 Å, 90.00 90.00 90.00°
Last column: magnetic moment on the atom in μB.
Fractional positions:
Nb 0.5000 0.5000 0.0000  -0.24
Mn 0.0000 0.0000 0.7638  0.51
Mn 0.0000 0.0000 0.2362  0.51
Zr 0.5000 0.5000 0.5000  -0.14



Below is a geometry-optimized Sr5Ca5Hg2 structure, with properties calculated at the PBE level.

Properties
For the total energy, the calculation gives -0.06351 hartree per atom. As for the formation enthalpy at 0 K: -143 meV/atom. The volume comes out at 42.0 A^3/atom. Its symmetry is C2/m.

Cell: 5.4663 10.8610 9.3506 Å, 75.39 73.00 75.42°
Fractional positions:
Sr 0.5000 0.5000 0.5000
Sr 0.3603 0.3452 0.9343
Sr 0.3392 0.9977 0.3238
Sr 0.6608 0.0023 0.6762
Sr 0.6397 0.6548 0.0657
Ca 0.9388 0.7329 0.3896
Ca 0.2636 0.7348 0.7380
Ca 0.7364 0.2652 0.2620
Ca 0.0612 0.2671 0.6104
Ca 0.0000 0.0000 0.0000
Hg 0.8627 0.5493 0.7254
Hg 0.1373 0.4507 0.2746



Below is a geometry-optimized ZnAs2Pb structure, with properties calculated at the PBE level.

Properties
For the total energy, the calculation gives -0.12442 hartree per atom. As for the formation enthalpy at 0 K: 185 meV/atom. The volume comes out at 23.2 A^3/atom. Its symmetry is Immm.

Cell: 5.3231 5.3231 5.3231 Å, 135.78 113.81 83.09°
Fractional positions:
As 0.0537 0.0537 0.0000
As 0.4463 0.4463 0.0000
Pb 0.7500 0.2500 0.5000
Zn 0.2500 0.7500 0.5000



Below is a geometry-optimized MnSbSe4 structure, with properties calculated at the PBE level.

Properties
The formation energy without anion corrections comes out at 3.96 eV per formula unit. For the total energy, the calculation gives -0.14254 hartree per atom. The volume comes out at 22.3 A^3/atom. Its symmetry is F-43m. The energy above the lowest structure with this stoichiometry is 979 meV per atom.

Cell: 5.7413 5.7413 5.7413 Å, 60.00 60.00 60.00°
Last column: magnetic moment on the atom in μB.
Fractional positions:
Mn 0.7500 0.7500 0.7500  4.28
Sb 0.0000 0.0000 0.0000  -0.15
Se 0.8711 0.3763 0.3763  0.00
Se 0.3763 0.3763 0.8711  0.00
Se 0.3763 0.8711 0.3763  0.00
Se 0.3763 0.3763 0.3763  0.00



Below is a geometry-optimized CsCa2Ga2 structure, with properties calculated at the PBE level.

Properties
For the total energy, the calculation gives -0.08477 hartree per atom. As for the formation enthalpy at 0 K: -125 meV/atom. The volume comes out at 34.7 A^3/atom. Its symmetry is I4/mmm. The energy above the lowest structure with this stoichiometry is 0 meV per atom.

Cell: 6.7104 6.7104 6.7104 Å, 129.93 129.93 73.52°
Fractional positions:
Cs 0.0000 0.0000 0.0000
Ca 0.7500 0.2500 0.5000
Ca 0.2500 0.7500 0.5000
Ga 0.6135 0.6135 0.0000
Ga 0.3865 0.3865 0.0000



Below is a geometry-optimized TbTaCo10 structure, with properties calculated at the PBE level.

Properties
For the total energy, the calculation gives -0.26871 hartree per atom. As for the formation enthalpy at 0 K: -17 meV/atom. The volume comes out at 13.1 A^3/atom. Its symmetry is Pmmm.

Cell: 3.9763 4.7647 8.2854 Å, 90.00 90.00 90.00°
Last column: magnetic moment on the atom in μB.
Fractional positions:
Tb 0.0000 0.0000 0.0000  -0.32
Ta 0.0000 0.5000 0.5000  -0.47
Co 0.0000 0.0000 0.3463  1.30
Co 0.0000 0.5000 0.8159  1.28
Co 0.0000 0.5000 0.1841  1.28
Co 0.0000 0.0000 0.6537  1.30
Co 0.5000 0.0000 0.5000  1.50
Co 0.5000 0.5000 0.0000  1.46
Co 0.5000 0.2565 0.2603  1.48
Co 0.5000 0.7435 0.7397  1.48
Co 0.5000 0.7435 0.2603  1.48
Co 0.5000 0.2565 0.7397  1.48



Below is a geometry-optimized Cs3Pd structure, with properties calculated at the PBE level.

Properties
For the total energy, the calculation gives -0.06781 hartree per atom. As for the formation enthalpy at 0 K: 93 meV/atom. The volume comes out at 74.1 A^3/atom. Its symmetry is Imm2. The energy above the lowest structure with this stoichiometry is 0 meV per atom.

Cell: 4.7122 8.9169 8.6736 Å, 120.93 105.76 90.00°
Fractional positions:
Cs 0.3450 0.7404 0.6900
Cs 0.5000 0.3296 0.0000
Cs 0.6550 0.0504 0.3100
Pd 0.0000 0.0463 0.0000